# 1
This record from Alexandria via LeMat-Bulk describes Nb6HSI9 after structural relaxation. The functional is PBE.

Cell and atoms, written as CIF:
```
data_Nb6HSI9
_cell_length_a 10.863
_cell_length_b 11.054
_cell_length_c 11.783
_cell_angle_alpha 104.80
_cell_angle_beta 104.84
_cell_angle_gamma 113.94
_space_group_name_H-M_alt 'P -1'
_space_group_IT_number 2
_space_group_name_Hall '-P 1'
loop_
_atom_site_label
_atom_site_type_symbol
_atom_site_fract_x
_atom_site_fract_y
_atom_site_fract_z
Nb1 Nb 0.073 0.191 0.457
Nb2 Nb 0.073 0.192 0.169
Nb3 Nb 0.118 0.934 0.113
Nb4 Nb 0.118 0.934 0.411
Nb5 Nb 0.187 0.113 0.970
Nb6 Nb 0.187 0.114 0.673
H1 H 0.000 0.000 0.000
H2 H 0.000 0.000 0.500
S1 S 0.002 0.005 0.252
I1 I 0.137 0.358 0.023
I2 I 0.137 0.358 0.713
I3 I 0.167 0.440 0.395
I4 I 0.226 0.863 0.925
I5 I 0.227 0.864 0.616
I6 I 0.275 0.845 0.278
I7 I 0.366 0.230 0.546
I8 I 0.367 0.230 0.237
I9 I 0.437 0.265 0.917
```

Summary:
Uncorrected energy = -5.373 eV/atom

# 2
This record from Alexandria via LeMat-Bulk describes NbSbHI2 after structural relaxation. The functional is PBE.

Cell and atoms, written as CIF:
```
data_NbSbHI2
_cell_length_a 5.652
_cell_length_b 5.652
_cell_length_c 5.391
_cell_angle_alpha 90.00
_cell_angle_beta 90.00
_cell_angle_gamma 90.00
_space_group_name_H-M_alt 'P 4/m m m'
_space_group_IT_number 123
_space_group_name_Hall '-P 4 2'
loop_
_atom_site_label
_atom_site_type_symbol
_atom_site_fract_x
_atom_site_fract_y
_atom_site_fract_z
Nb1 Nb 0.000 0.000 0.000
Sb1 Sb 0.000 0.000 0.500
H1 H 0.500 0.500 0.500
I1 I 0.000 0.500 0.000
```

Summary:
Uncorrected energy = -3.546 eV/atom